1.
A relaxed CsC3Cl crystal. Source: the Alexandria database, functional PBE.

Cell and atoms, written as extended XYZ:
```
5
Lattice="4.458 0.000 0.000 0.000 4.458 0.000 0.000 0.000 4.458" Properties=species:S:1:pos:R:3 pbc="T T T"
Cl 0.000 0.000 0.000
C 0.000 0.000 2.229
C 0.000 2.229 0.000
Cs 2.229 2.229 2.229
C 2.229 0.000 0.000
```

Results
Its final energy is -13.2 eV per cell. Its energy relative to the elements, uncorrected is 3.43 eV per atom.


2.
A relaxed LaY7Er5 crystal. Source: the Alexandria database, functional PBE.

Cell and atoms, written as extended XYZ:
```
13
Lattice="6.245 0.000 2.288 2.988 8.063 1.511 0.345 -0.116 8.723" Properties=species:S:1:pos:R:3 pbc="T T T"
Y 4.090 5.882 8.169
Er 7.269 5.725 9.157
Er 5.052 3.620 10.635
Er 6.468 8.004 6.769
Y 1.263 2.378 6.219
Y 2.189 5.245 3.691
Y 5.004 3.386 5.674
Y 5.735 6.514 3.679
Y 2.428 1.896 3.040
Er 3.179 8.004 5.564
Y 3.976 1.069 8.480
Er 1.762 3.620 9.429
La 6.140 0.285 2.573
```

Results
Its final energy is -69.9 eV per cell.


3.
A relaxed NbSnB2 crystal. Source: the Alexandria database, functional PBE.

Cell and atoms, written as extended XYZ:
```
8
Lattice="6.060 0.000 0.000 0.000 6.060 0.000 3.030 3.030 3.186" Properties=species:S:1:pos:R:3 pbc="T T T"
B 1.516 4.545 0.797
Sn 0.000 0.000 0.000
B 4.545 4.546 2.390
B 4.543 1.515 0.797
Sn 6.060 3.030 1.593
Nb 3.030 6.060 1.593
B 7.575 7.573 2.390
Nb 3.030 3.030 0.000
```

Results
Its final energy is -48.8 eV per cell.


4.
A relaxed RbAlSe2 crystal. Source: the Alexandria database, functional PBE.

Cell and atoms, written as extended XYZ:
```
16
Lattice="-0.172 -2.539 -3.219 -3.116 -3.965 3.294 -17.494 8.775 -5.986" Properties=species:S:1:pos:R:3 pbc="T T T"
Se -18.231 5.781 -7.508
Se -17.330 2.166 -4.705
Rb -15.643 5.322 -4.669
Al -1.390 -0.685 -0.693
Se -12.664 3.902 -3.708
Se -11.313 0.860 -1.381
Al -19.392 2.956 -5.218
Rb -6.347 1.632 -2.256
Se -3.452 0.106 -1.206
Al -10.877 2.761 -2.904
Se -9.469 1.412 -4.530
Rb -14.435 0.639 -3.655
Rb -5.139 -3.050 -1.242
Al -9.906 -0.490 -3.007
Se -8.118 -1.631 -2.203
Se -2.552 -3.509 1.597
```

Results
Its final energy is -63.1 eV per cell. Its energy relative to the elements, uncorrected is -1.02 eV per atom.


5.
A relaxed Ca2TiAs3Rh4 crystal. Source: the Alexandria database, functional PBE.

Cell and atoms, written as extended XYZ:
```
10
Lattice="-3.704 -1.707 -0.074 0.523 -1.301 3.830 -4.333 9.241 3.731" Properties=species:S:1:pos:R:3 pbc="T T T"
Rh -4.621 5.052 2.347
Ca -3.028 6.365 4.748
Rh -1.591 -1.504 1.878
Rh -1.302 2.685 3.262
Rh 0.000 0.000 0.000
As -2.166 4.621 1.866
As -5.602 7.144 3.192
Ti -3.757 3.116 3.744
Ca -2.896 1.372 0.862
As -0.322 0.593 2.417
```

Results
Its final energy is -63.6 eV per cell.


6.
A relaxed Pr2ZrScPt2 crystal. Source: the Alexandria database, functional PBE.

Cell and atoms, written as extended XYZ:
```
12
Lattice="-2.794 5.544 -2.302 -4.198 0.010 5.118 7.964 0.994 2.250" Properties=species:S:1:pos:R:3 pbc="T T T"
Zr -4.546 2.779 2.688
Pt 2.866 4.372 2.342
Pr -2.542 5.614 2.185
Pr 3.514 0.933 2.881
Sc -1.050 0.002 1.280
Pt 2.148 1.635 6.040
Zr -2.446 2.774 0.128
Pt -1.176 4.912 -0.974
Pr -0.022 3.790 4.256
Pt -1.894 2.175 2.724
Pr 0.994 2.757 0.810
Sc -3.149 0.007 3.839
```

Results
Its final energy is -83.3 eV per cell.


7.
A relaxed Ac4B crystal. Source: the Alexandria database, functional PBE.

Cell and atoms, written as extended XYZ:
```
5
Lattice="5.754 0.000 0.000 0.000 5.754 0.000 0.000 0.000 5.754" Properties=species:S:1:pos:R:3 pbc="T T T"
B 2.877 2.877 2.877
Ac 2.877 2.877 0.000
Ac 2.877 0.000 2.877
Ac 0.000 0.000 0.000
Ac 0.000 2.877 2.877
```

Results
Its final energy is -22.1 eV per cell.


8.
A relaxed ZrTeOsN2 crystal. Source: the Alexandria database, functional PBE.

Cell and atoms, written as extended XYZ:
```
5
Lattice="4.089 0.000 0.000 0.000 4.089 0.000 0.000 0.000 6.133" Properties=species:S:1:pos:R:3 pbc="T T T"
Te 0.000 0.000 3.067
N 0.000 2.044 0.000
Zr 0.000 0.000 0.000
N 2.044 0.000 0.000
Os 2.044 2.044 3.067
```

Results
Its final energy is -33.4 eV per cell. Its energy relative to the elements, uncorrected is 1.24 eV per atom.


9.
A relaxed Co5Re crystal. Source: the Alexandria database, functional PBE.

Cell and atoms, written as extended XYZ:
```
6
Lattice="1.787 -5.314 0.000 1.787 5.314 0.000 0.000 0.000 3.560" Properties=species:S:1:pos:R:3 pbc="T T T"
Co 1.787 1.793 1.780
Co 1.787 -3.536 0.000
Co 0.000 0.000 1.780
Co 1.787 -1.793 1.780
Co 1.787 3.536 0.000
Re 1.787 0.000 0.000
```

Results
Its final energy is -47.5 eV per cell.


10.
A relaxed FeTe2CI crystal. Source: the Alexandria database, functional PBE.

Cell and atoms, written as extended XYZ:
```
5
Lattice="-3.052 2.761 2.864 -3.971 -2.329 -1.987 0.264 -3.885 4.027" Properties=species:S:1:pos:R:3 pbc="T T T"
C -3.379 -1.727 2.452
I 0.132 -1.943 2.014
Te -1.526 1.380 1.432
Te -1.985 -1.165 -0.993
Fe 0.000 0.000 0.000
```

Results
Its final energy is -17.1 eV per cell. Its energy relative to the elements, uncorrected is 1.69 eV per atom.


11.
A relaxed Sr2BeOs crystal. Source: the Alexandria database, functional PBE.

Cell and atoms, written as extended XYZ:
```
4
Lattice="9.655 -0.018 -0.011 9.000 3.496 -0.011 9.000 1.678 3.067" Properties=species:S:1:pos:R:3 pbc="T T T"
Os 20.742 3.867 2.284
Be 6.914 1.289 0.761
Sr 0.144 0.027 0.016
Sr 13.684 2.551 1.507
```

Results
Its final energy is -13.7 eV per cell.


12.
A relaxed NdDyHo2Tm4 crystal. Source: the Alexandria database, functional PBE.

Cell and atoms, written as extended XYZ:
```
16
Lattice="9.278 -0.065 -1.741 -0.072 9.278 -1.741 -5.835 -5.839 8.252" Properties=species:S:1:pos:R:3 pbc="T T T"
Tm 4.024 -0.657 2.379
Tm 3.973 4.004 1.509
Ho 4.603 4.606 -1.741
Dy 3.442 -5.905 6.511
Ho 1.721 -2.952 3.255
Tm 2.273 6.941 -1.734
Tm -0.653 4.030 2.391
Dy 1.685 1.686 2.385
Tm -0.602 -0.631 3.261
Ho -2.918 -2.920 4.126
Nd -0.036 4.639 -0.870
Tm 1.098 -3.568 6.505
Tm 6.890 6.923 -2.605
Nd 6.324 1.654 1.515
Tm -3.519 -3.550 7.375
Ho 4.639 -0.033 -0.870
```

Results
Its final energy is -65.7 eV per cell.


13.
A relaxed Ce4Sb3Se crystal. Source: the Alexandria database, functional PBE.

Cell and atoms, written as extended XYZ:
```
16
Lattice="7.696 0.074 0.000 -2.627 7.198 0.000 0.000 0.000 8.885" Properties=species:S:1:pos:R:3 pbc="T T T"
Se 1.924 0.019 1.102
Ce -0.625 1.729 1.065
Ce 3.161 1.809 3.285
Sb 4.458 3.655 5.557
Sb 0.610 3.618 3.328
Ce 5.693 5.543 7.820
Sb 0.610 3.618 7.779
Sb 5.772 0.056 3.327
Ce 7.009 1.846 5.600
Ce 1.845 5.506 1.065
Sb 4.458 3.655 1.106
Ce 3.223 1.766 7.820
Ce -1.940 5.426 3.285
Se 5.772 0.056 7.783
Ce 1.908 5.463 5.600
Sb 1.924 0.019 5.558
```

Results
Its final energy is -98.8 eV per cell. Its energy relative to the elements, uncorrected is -1.23 eV per atom.


14.
A relaxed Pa2Zn2Co15 crystal. Source: the Alexandria database, functional PBE.

Cell and atoms, written as extended XYZ:
```
19
Lattice="6.229 -0.007 0.807 0.708 6.189 0.807 -0.008 -0.007 6.281" Properties=species:S:1:pos:R:3 pbc="T T T"
Co 1.396 3.995 4.705
Co 2.799 5.245 3.190
Co 4.616 1.803 0.807
Co 1.814 -0.007 4.681
Co 4.129 0.928 4.705
Pa 4.502 4.011 5.129
Zn 0.703 0.626 0.801
Co 2.445 2.179 5.899
Co 0.354 3.094 0.403
Zn 6.226 5.548 7.094
Co 4.484 3.995 1.995
Co 5.532 2.179 3.190
Pa 2.427 2.163 2.765
Co 0.499 4.378 2.406
Co 4.406 -0.007 2.406
Co 3.114 -0.004 0.403
Co 2.321 4.378 0.807
Co -0.004 -0.004 3.140
Co 0.201 1.803 4.681
```

Results
Its final energy is -130.4 eV per cell.


15.
A relaxed SmEr2Zn2Ga2 crystal. Source: the Alexandria database, functional PBE.

Cell and atoms, written as extended XYZ:
```
7
Lattice="-0.810 -4.361 -0.408 3.257 -2.949 0.734 -1.525 -2.827 8.920" Properties=species:S:1:pos:R:3 pbc="T T T"
Ga 0.292 -2.524 2.080
Er -0.627 -2.677 5.540
Zn 1.147 -4.954 2.039
Zn -0.226 -5.182 7.207
Er 1.548 -7.459 3.706
Sm 0.000 0.000 0.000
Ga 0.629 -7.612 7.166
```

Results
Its final energy is -25.2 eV per cell.


16.
A relaxed La8Pm4Nd crystal. Source: the Alexandria database, functional PBE.

Cell and atoms, written as extended XYZ:
```
13
Lattice="-9.143 6.601 -3.962 0.180 -11.781 -2.014 4.104 -1.090 6.744" Properties=species:S:1:pos:R:3 pbc="T T T"
La -3.476 -5.828 -1.690
La 2.672 -3.885 5.391
La 2.763 -9.829 4.374
Pm 0.000 0.000 0.000
Pm 4.194 -6.981 5.737
La -7.532 -2.385 -4.623
La -1.850 -6.498 2.375
La -3.009 0.229 -1.607
La -7.623 3.560 -3.607
Nd 2.142 -6.435 2.365
Pm -4.482 -2.590 -2.988
Pm -4.572 3.301 -1.981
La -1.384 -0.441 2.458
```

Results
Its final energy is -58.6 eV per cell.


17.
A relaxed ScAsS2N crystal. Source: the Alexandria database, functional PBE.

Cell and atoms, written as extended XYZ:
```
5
Lattice="-2.562 -2.623 -3.388 2.746 0.953 -2.814 2.623 -4.081 1.177" Properties=species:S:1:pos:R:3 pbc="T T T"
S -1.281 -1.312 -1.694
N 1.373 0.476 -1.407
As 1.404 -2.876 -2.512
S 1.311 -2.041 0.589
Sc 0.000 0.000 0.000
```

Results
Its final energy is -26.1 eV per cell. Its energy relative to the elements, uncorrected is 0.29 eV per atom.


18.
A relaxed Hg14AuI crystal. Source: the Alexandria database, functional PBE.

Cell and atoms, written as extended XYZ:
```
16
Lattice="-4.657 -1.698 -4.449 8.484 -1.555 -3.302 -0.196 -7.947 3.238" Properties=species:S:1:pos:R:3 pbc="T T T"
Hg -0.188 -6.707 0.430
Hg 4.327 -2.642 -6.221
Au -1.911 -5.024 -1.068
Hg 6.231 -5.497 -1.735
Hg -0.165 -1.694 -4.167
Hg -2.672 -7.613 -1.943
Hg 1.257 -8.252 -3.153
Hg 4.219 -3.311 -3.153
Hg -0.093 -2.848 -1.142
Hg -2.577 -3.753 -3.515
Hg 3.719 -6.412 -4.135
Hg 4.104 -7.963 -1.258
Hg 2.404 -0.939 -2.158
I 2.581 -5.020 -0.786
Hg 6.849 -1.722 -3.812
Hg 1.355 -4.308 -4.760
```

Results
Its final energy is -8.9 eV per cell. Its energy relative to the elements, uncorrected is 0.01 eV per atom.


19.
A relaxed Li2Sc2Tl3 crystal. Source: the Alexandria database, functional PBE.

Cell and atoms, written as extended XYZ:
```
7
Lattice="-1.909 -2.050 -3.344 -1.831 -1.636 2.048 -8.461 6.764 -2.163" Properties=species:S:1:pos:R:3 pbc="T T T"
Sc -2.993 -0.677 -0.722
Li -5.095 1.503 -0.859
Tl -4.282 0.412 -3.500
Tl -6.088 4.301 -2.008
Tl 0.000 0.000 0.000
Li -7.106 1.575 -2.601
Sc -9.207 3.755 -2.738
```

Results
Its final energy is -25.0 eV per cell.


20.
A relaxed Cr2RePb crystal. Source: the Alexandria database, functional PBE.

Cell and atoms, written as extended XYZ:
```
4
Lattice="-4.145 -2.698 0.889 -2.188 -1.814 -4.144 4.684 -0.013 1.819" Properties=species:S:1:pos:R:3 pbc="T T T"
Cr 0.000 0.000 0.000
Re -1.314 -2.483 0.541
Pb -3.167 -2.256 -1.628
Cr -0.335 -2.041 -1.976
```

Results
Its final energy is -32.3 eV per cell.